Below is crystalline SrBi2RhPb at its relaxed geometry, with properties calculated at the PBEsol level.

Calculated values
E_form = 0.984 eV/atom
mass density = 7.86 g cm⁻³

Geometry as CIF:
```
data_SrBi2RhPb
_chemical_formula_sum 'Sr1 Bi2 Rh1 Pb1'
_symmetry_space_group_name_H-M 'P 4/m m m'
_symmetry_Int_Tables_number 123
_symmetry_space_group_name_Hall '-P 4 2'
_cell_length_a 5.953
_cell_length_b 5.953
_cell_length_c 4.865
_cell_angle_alpha 90.00
_cell_angle_beta 90.00
_cell_angle_gamma 90.00
loop_
_atom_site_label
_atom_site_fract_x
_atom_site_fract_y
_atom_site_fract_z
_atom_site_occupancy
Sr1 0.000 0.000 0.000 1
Bi1 0.000 0.500 0.000 1
Rh1 0.000 0.000 0.500 1
Pb1 0.500 0.500 0.500 1
```